[1]
This record from Alexandria describes an optimized crystal structure of Sm6Dy5Y. The functional is PBE-GGA.

**DFT formation energy**: 17 meV per atom
**Crystal system**: orthorhombic

a = 9.494 Å, b = 9.494 Å, c = 9.494 Å
α = 148.99°, β = 115.52°, γ = 73.27°
Atoms (fractional coordinates):
Sm: 0.083 0.333 0.750
Sm: 0.249 0.000 0.249
Sm: 0.416 0.667 0.750
Sm: 0.584 0.333 0.250
Sm: 0.751 0.000 0.751
Sm: 0.917 0.667 0.250
Dy: 0.000 0.500 0.500
Dy: 0.167 0.167 0.000
Dy: 0.333 0.833 0.500
Dy: 0.667 0.167 0.500
Dy: 0.833 0.833 0.000
Y: 0.500 0.500 0.000

[2]
This record from Alexandria describes an optimized crystal structure of Mg3ZnHg2. The functional is PBE-GGA.

**DFT formation energy**: -173 meV per atom
**Energy above the most stable polymorph in this dataset**: 0.0 meV/atom
**Crystal system**: orthorhombic

a = 7.504 Å, b = 7.504 Å, c = 3.591 Å
α = 90.00°, β = 90.00°, γ = 142.97°
Atoms (fractional coordinates):
Mg: 0.000 0.000 0.000
Mg: 0.336 0.664 0.000
Mg: 0.664 0.336 0.000
Zn: 0.500 0.500 0.500
Hg: 0.162 0.838 0.500
Hg: 0.838 0.162 0.500

[3]
This record from Alexandria describes an optimized crystal structure of TcNiSN2. The functional is PBE-GGA.

**Energy above the most stable polymorph in this dataset**: 591.4 meV/atom
**Crystal system**: tetragonal
**Formation energy (no corrections)**: 658.5 kJ/mol of formula units

a = 3.678 Å, b = 3.678 Å, c = 4.566 Å
α = 90.00°, β = 90.00°, γ = 90.00°
Atoms (fractional coordinates):
Tc: 0.000 0.000 0.000
Ni: 0.500 0.500 0.500
S: 0.500 0.500 0.000
N: 0.000 0.500 0.500
N: 0.500 0.000 0.500

[4]
This record from Alexandria describes an optimized crystal structure of AcCd2Au6. The functional is PBE-GGA.

**DFT formation energy**: -231 meV per atom
**Energy above the most stable polymorph in this dataset**: 71.3 meV/atom
**Crystal system**: hexagonal

a = 8.211 Å, b = 8.211 Å, c = 3.551 Å
α = 90.00°, β = 90.00°, γ = 120.00°
Atoms (fractional coordinates):
Ac: 0.000 0.000 0.000
Cd: 0.333 0.667 0.000
Cd: 0.667 0.333 0.000
Au: 0.000 0.336 0.500
Au: 0.000 0.664 0.500
Au: 0.336 0.000 0.500
Au: 0.336 0.336 0.500
Au: 0.664 0.000 0.500
Au: 0.664 0.664 0.500

[5]
This record from Alexandria describes an optimized crystal structure of ZnOs3O. The functional is PBE-GGA.

**Energy above the most stable polymorph in this dataset**: 0.0 meV/atom
**Crystal system**: cubic
**Formation energy (no corrections)**: 438.6 kJ/mol of formula units

a = 4.081 Å, b = 4.081 Å, c = 4.081 Å
α = 90.00°, β = 90.00°, γ = 90.00°
Atoms (fractional coordinates):
Zn: 0.000 0.000 0.000
Os: 0.000 0.500 0.500
Os: 0.500 0.000 0.500
Os: 0.500 0.500 0.000
O: 0.500 0.500 0.500

[6]
This record from Alexandria describes an optimized crystal structure of Ta6SnC. The functional is PBE-GGA.

**DFT formation energy**: -14 meV per atom
**Crystal system**: triclinic

a = 4.977 Å, b = 5.423 Å, c = 5.494 Å
α = 99.85°, β = 101.65°, γ = 100.00°
Atoms (fractional coordinates):
Ta: 0.118 0.242 0.226
Ta: 0.273 0.802 0.436
Ta: 0.280 0.424 0.789
Ta: 0.720 0.576 0.211
Ta: 0.727 0.198 0.564
Ta: 0.882 0.758 0.774
Sn: 0.500 0.000 0.000
C: 0.500 0.500 0.500

[7]
This record from Alexandria describes an optimized crystal structure of TaTlMo3. The functional is PBE-GGA.

**DFT formation energy**: 1756 meV per atom
**Energy above the most stable polymorph in this dataset**: 0.0 meV/atom
**Crystal system**: cubic

a = 4.818 Å, b = 4.818 Å, c = 4.818 Å
α = 90.00°, β = 90.00°, γ = 90.00°
Atoms (fractional coordinates):
Ta: 0.000 0.000 0.000
Tl: 0.500 0.500 0.500
Mo: 0.000 0.000 0.500
Mo: 0.000 0.500 0.000
Mo: 0.500 0.000 0.000

[8]
This record from Alexandria describes an optimized crystal structure of ReBSe2. The functional is PBE-GGA.

**Crystal system**: trigonal
**Formation energy (no corrections)**: 317.0 kJ/mol of formula units

a = 7.647 Å, b = 7.647 Å, c = 7.647 Å
α = 23.42°, β = 23.42°, γ = 23.42°
Atoms (fractional coordinates):
Re: 0.000 0.000 0.000
B: 0.500 0.500 0.500
Se: 0.108 0.108 0.108
Se: 0.892 0.892 0.892

[9]
This record from Alexandria describes an optimized crystal structure of Sm5MgSb2. The functional is PBE-GGA.

**Crystal system**: orthorhombic
**Formation energy (no corrections)**: -323.7 kJ/mol of formula units

a = 6.287 Å, b = 6.287 Å, c = 19.772 Å
α = 90.00°, β = 90.00°, γ = 142.43°
Atoms (fractional coordinates):
Sm: 0.055 0.945 0.609
Sm: 0.055 0.945 0.891
Sm: 0.358 0.642 0.529
Sm: 0.358 0.642 0.971
Sm: 0.417 0.583 0.750
Sm: 0.583 0.417 0.250
Sm: 0.642 0.358 0.029
Sm: 0.642 0.358 0.471
Sm: 0.945 0.055 0.109
Sm: 0.945 0.055 0.391
Mg: 0.157 0.843 0.750
Mg: 0.843 0.157 0.250
Sb: 0.231 0.769 0.148
Sb: 0.231 0.769 0.352
Sb: 0.769 0.231 0.648
Sb: 0.769 0.231 0.852

[10]
This record from Alexandria describes an optimized crystal structure of CsNd4. The functional is PBE-GGA.

**DFT formation energy**: 954 meV per atom
**Crystal system**: cubic

a = 5.873 Å, b = 5.873 Å, c = 5.873 Å
α = 90.00°, β = 90.00°, γ = 90.00°
Atoms (fractional coordinates):
Cs: 0.000 0.000 0.000
Nd: 0.000 0.000 0.500
Nd: 0.000 0.500 0.000
Nd: 0.500 0.000 0.000
Nd: 0.500 0.500 0.500

[11]
This record from Alexandria describes an optimized crystal structure of LiTaW2. The functional is PBE-GGA.

**DFT formation energy**: 427 meV per atom
**Energy above the most stable polymorph in this dataset**: 175.2 meV/atom
**Crystal system**: orthorhombic

a = 5.092 Å, b = 5.092 Å, c = 5.092 Å
α = 141.58°, β = 127.15°, γ = 67.21°
Atoms (fractional coordinates):
Li: 0.000 0.000 0.000
Ta: 0.259 0.759 0.500
W: 0.514 0.514 0.000
W: 0.748 0.248 0.500

[12]
This record from Alexandria describes an optimized crystal structure of ErTm2ZrN4. The functional is PBE-GGA.

**Crystal system**: monoclinic
**Formation energy (no corrections)**: -1398.7 kJ/mol of formula units

a = 5.822 Å, b = 3.360 Å, c = 5.826 Å
α = 90.00°, β = 109.31°, γ = 90.00°
Atoms (fractional coordinates):
Er: 0.000 0.000 0.000
Tm: 0.500 0.000 0.500
Tm: 0.500 0.500 0.000
Zr: 0.000 0.500 0.500
N: 0.242 0.000 0.741
N: 0.246 0.500 0.257
N: 0.754 0.500 0.743
N: 0.758 0.000 0.259

Number 1: total DFT energy (no corrections) -57.6 eV per formula unit. Number 2: total DFT energy (no corrections) -7.7 eV per formula unit. Number 3: total DFT energy (no corrections) -30.1 eV per formula unit. Number 4: total DFT energy (no corrections) -27.7 eV per formula unit. Number 5: total DFT energy (no corrections) -35.4 eV per formula unit. Number 6: total DFT energy (no corrections) -84.5 eV per formula unit. Number 7: total DFT energy (no corrections) -37.9 eV per formula unit. Number 8: total DFT energy (no corrections) -22.8 eV per formula unit. Number 9: total DFT energy (no corrections) -36.8 eV per formula unit. Number 10: total DFT energy (no corrections) -15.2 eV per formula unit. Number 11: total DFT energy (no corrections) -38.0 eV per formula unit. Number 12: total DFT energy (no corrections) -69.9 eV per formula unit.